(1)
! GGA-PBE TeIr2W, optimized geometry; values from VASP
! Space group = Amm2 (38)
! Final energy = -32.68 eV per formula unit
! Crystal system = orthorhombic
! E_form (uncorrected) = 283 meV/atom
! D(E_F) = 1.6 states/eV/cell
! M_tot = 0.00 μB/atom
&SYSTEM
  ibrav = 0, nat = 4, ntyp = 3
/
ATOMIC_SPECIES
Te 127.60 Te.upf
Ir 192.22 Ir.upf
W 183.84 W.upf
CELL_PARAMETERS angstrom
4.436 0.000 0.000
0.000 1.481 5.204
0.000 -1.481 5.204
ATOMIC_POSITIONS crystal
Te 0.000 0.000 0.000
Ir 0.000 0.251 0.251
Ir 0.500 0.425 0.425
W 0.500 0.692 0.692

---

(2)
! GGA-PBE TeIr2W, optimized geometry; values from VASP
! Space group = Pmmm (47)
! Final energy = -31.69 eV per formula unit
! Crystal system = orthorhombic
! E_form (uncorrected) = 533 meV/atom
! D(E_F) = 3.1 states/eV/cell
! M_tot = 0.00 μB/atom
&SYSTEM
  ibrav = 0, nat = 4, ntyp = 3
/
ATOMIC_SPECIES
Te 127.60 Te.upf
Ir 192.22 Ir.upf
W 183.84 W.upf
CELL_PARAMETERS angstrom
3.049 0.000 0.000
0.000 4.637 0.000
0.000 0.000 4.725
ATOMIC_POSITIONS crystal
Te 0.000 0.000 0.000
Ir 0.000 0.500 0.500
Ir 0.500 0.500 0.000
W 0.500 0.000 0.500

---

(3)
! GGA-PBE TeIrW2, optimized geometry; values from VASP
! Space group = Cmmm (65)
! Final energy = -35.24 eV per formula unit
! Crystal system = orthorhombic
! E_form (uncorrected) = 666 meV/atom
! D(E_F) = 3.4 states/eV/cell
! M_tot = 0.00 μB/atom
&SYSTEM
  ibrav = 0, nat = 4, ntyp = 3
/
ATOMIC_SPECIES
Te 127.60 Te.upf
Ir 192.22 Ir.upf
W 183.84 W.upf
CELL_PARAMETERS angstrom
2.676 -4.344 0.000
2.676 4.344 0.000
0.000 0.000 2.944
ATOMIC_POSITIONS crystal
Te 0.000 0.000 0.000
Ir 0.500 0.500 0.000
W 0.000 0.500 0.500
W 0.500 0.000 0.500